1.
## ScC2BrF (PBE)

Data for an optimized crystal structure of ScC2BrF.

Summary:
Fermi-level density of states: 4.13 states/eV per cell
total magnetization: 0.047 μB per atom
symmetry: P4/mmm, No. 123

extended XYZ file:
```
5
Lattice="4.4100 0.0000 0.0000 0.0000 4.4100 0.0000 0.0000 0.0000 5.1252" Properties=species:S:1:pos:R:3 pbc="T T T"
Sc 0.0000 0.0000 0.0000
C 0.0000 2.2050 0.0000
C 2.2050 0.0000 0.0000
Br 0.0000 0.0000 2.5626
F 2.2050 2.2050 2.5626
```

2.
## CSeBr2F (PBE)

Data for an optimized crystal structure of CSeBr2F.

Summary:
energy relative to the lowest polymorph listed for this composition: 0 meV per atom
Fermi-level density of states: 4.24 states/eV per cell
total magnetization: 0.000 μB per atom
symmetry: P4/mmm, No. 123

extended XYZ file:
```
5
Lattice="4.6767 0.0000 0.0000 0.0000 4.6767 0.0000 0.0000 0.0000 4.2506" Properties=species:S:1:pos:R:3 pbc="T T T"
C 0.0000 0.0000 0.0000
Se 0.0000 0.0000 2.1253
Br 0.0000 2.3383 0.0000
Br 2.3383 0.0000 0.0000
F 2.3383 2.3383 2.1253
```

3.
## CSe2BrF (PBE)

Data for an optimized crystal structure of CSe2BrF.

Summary:
energy relative to the lowest polymorph listed for this composition: 616 meV per atom
Fermi-level density of states: 5.44 states/eV per cell
total magnetization: 0.182 μB per atom
symmetry: P4/mmm, No. 123

extended XYZ file:
```
5
Lattice="4.2234 0.0000 0.0000 0.0000 4.2234 0.0000 0.0000 0.0000 7.3670" Properties=species:S:1:pos:R:3 pbc="T T T"
C 0.0000 0.0000 0.0000
Se 0.0000 2.1117 3.6835
Se 2.1117 0.0000 3.6835
Br 2.1117 2.1117 0.0000
F 2.1117 2.1117 3.6835
```

no.,formation energy without anion corrections (eV/atom)
1,1.46
2,1.02
3,1.61